# SIO4 (PBE, optimized geometry)
# energy relative to the elements, uncorrected: -66.3 kJ per mole of atoms
# calculated volume: 118.2 Å³/f.u.
data_SIO4
_cell_length_a 5.095
_cell_length_b 4.794
_cell_length_c 19.502
_cell_angle_alpha 90.00
_cell_angle_beta 97.12
_cell_angle_gamma 90.00
_space_group_name_H-M_alt 'P 1 21/c 1'
_space_group_IT_number 14
_space_group_name_Hall '-P 2ybc'
loop_
_atom_site_label
_atom_site_type_symbol
_atom_site_fract_x
_atom_site_fract_y
_atom_site_fract_z
_atom_site_occupancy
S1 S 0.245 0.040 0.396 1
I1 I 0.209 0.515 0.648 1
O1 O 0.040 0.625 0.925 1
O2 O 0.081 0.230 0.331 1
O3 O 0.373 0.237 0.445 1
O4 O 0.412 0.623 0.854 1